A plane-wave DFT calculation with PBE was carried out for YAgAu3 after structural relaxation.

Cell and atoms, written as POSCAR:
```
YAgAu3
1.0
-3.546 1.829 -3.679
-3.635 -3.661 1.684
-1.914 3.564 3.617
Au Y Ag
3 1 1
Cartesian
-1.818 -1.830 0.842
-0.957 1.782 1.809
-1.773 0.915 -1.839
0.000 0.000 0.000
-4.548 0.866 0.811
```

Output
- Theoretical density: 8.2 g/cm3
- DOS(E_F): 2.33 states/eV/cell
- Total DFT energy (no corrections): -3.3098 eV/atom
- DFT formation energy: 520 meV/atom